[1]
A plane-wave DFT calculation with PBE-GGA was carried out for a relaxed structure of MgZr2Au.

Structure (POSCAR):
```
MgZr2Au
1.0
-2.122 -4.048 -6.635
-6.523 -2.813 3.802
-5.788 -1.221 -2.296
Mg Zr Au
2 4 2
Direct
0.500 0.500 0.000
0.250 0.750 0.500
0.657 0.125 0.250
0.875 0.907 0.750
0.093 0.625 0.250
0.375 0.343 0.750
0.750 0.250 0.500
0.000 0.000 0.000
```

Results
The value obtained for the volume is 181.3 Å³/cell. The value obtained for the total DFT energy (no corrections) is -5.436 eV/atom.



[2]
A plane-wave DFT calculation with PBE-GGA was carried out for a relaxed structure of Sc6TcNi5.

Structure (POSCAR):
```
Sc6TcNi5
1.0
4.344 0.022 -1.262
-0.865 5.537 -2.884
-0.073 0.460 7.795
Ni Sc Tc
5 6 1
Direct
0.000 0.500 0.000
0.328 0.329 0.658
0.672 0.671 0.342
0.336 0.836 0.671
0.664 0.164 0.329
0.500 0.749 0.000
0.833 0.583 0.667
0.834 0.084 0.667
0.500 0.251 0.000
0.167 0.417 0.333
0.166 0.916 0.333
0.000 0.000 0.000
```

Results
The value obtained for the volume is 193.4 Å³/cell. The value obtained for the total DFT energy (no corrections) is -6.903 eV/atom.



| no. | density of states at the Fermi level (states/eV/cell) | formation enthalpy at 0 K (meV/atom) |
| --- | --- | --- |
| 1 | 8.5 | 56 |
| 2 | 7.1 | -464 |